No. 1
Entry from the Alexandria database: a relaxed structure of Pm2PrGaO (GGA-PBE).

Lattice parameters (Å, degrees): 4.9660 4.8643 4.8643 90.00 90.00 90.00
Closest atoms and distances in Å follow each position.
Fractional positions:
Pm: 0.0000 0.5000 0.0000  2 O 2.43
Pm: 0.0000 0.0000 0.5000  2 O 2.43
O: 0.0000 0.0000 0.0000  4 Pm 2.43, 2 Pr 2.48
Pr: 0.5000 0.0000 0.0000  2 O 2.48
Ga: 0.5000 0.5000 0.5000  4 Pr 3.44, 8 Pm 3.48

Summary:
As for the total energy: -5.8239 eV/atom. The space-group type is No. 123.

***

No. 2
Entry from the Alexandria database: a relaxed structure of CaIn4Sn4 (GGA-PBE).

Lattice parameters (Å, degrees): 5.5029 6.8460 9.4523 67.52 73.08 66.30
Closest atoms and distances in Å follow each position.
Fractional positions:
Sn: 0.2538 0.1715 0.3209  3 In 2.90-3.10, 1 Sn 2.97
Sn: 0.8999 0.3443 0.8559  4 In 2.88-3.06, 1 Sn 2.97
Sn: 0.7462 0.8285 0.6791  3 In 2.90-3.10, 1 Sn 2.97
Sn: 0.1001 0.6557 0.1441  4 In 2.88-3.06, 1 Sn 2.97
In: 0.7006 0.4331 0.1657  5 Sn 3.02-3.29, 1 In 3.04
In: 0.1406 0.0629 0.6558  4 Sn 2.88-3.10, 1 In 3.04
In: 0.8594 0.9371 0.3442  4 Sn 2.88-3.10, 1 In 3.04
In: 0.2994 0.5669 0.8343  5 Sn 3.02-3.29, 1 In 3.04
Ca: 0.5000 0.0000 0.0000  6 Sn 3.39-3.50, 2 In 3.41

Summary:
Its formation energy is -57 meV per atom. The space-group type is No. 12.

***

No. 3
Entry from the Alexandria database: a relaxed structure of Th4NpN5 (GGA-PBE).

Lattice parameters (Å, degrees): 5.1299 6.2779 6.2779 80.39 65.88 65.88
Closest atoms and distances in Å follow each position.
Fractional positions:
Th: 0.4018 0.3983 0.8004  6 N 2.55-2.63
Th: 0.6004 0.6017 0.1996  6 N 2.55-2.63
Th: 0.8000 0.8004 0.6017  6 N 2.55-2.63
Th: 0.2022 0.1996 0.3983  6 N 2.55-2.63
N: 0.5006 0.0000 0.0000  4 Th 2.55, 2 Np 2.56-2.57
N: 0.9023 0.3897 0.8079  1 Np 2.49, 5 Th 2.55-2.63
N: 0.2920 0.8079 0.6103  1 Np 2.49, 5 Th 2.55-2.63
N: 0.7102 0.1921 0.3897  1 Np 2.49, 5 Th 2.55-2.63
N: 0.0999 0.6103 0.1921  1 Np 2.49, 5 Th 2.55-2.63
Np: 0.0010 0.0000 0.0000  6 N 2.49-2.57

Summary:
As for the total energy: -9.8720 eV/atom. The space-group type is No. 87.

***

No. 4
Entry from the Alexandria database: a relaxed structure of TlInGa2Tc (GGA-PBE).

Lattice parameters (Å, degrees): 4.9117 4.9117 5.2440 90.00 90.00 90.00
Closest atoms and distances in Å follow each position.
Fractional positions:
In: 0.0000 0.0000 0.5000  2 Tc 2.62
Ga: 0.0000 0.5000 0.0000  2 Tc 2.46
Ga: 0.5000 0.0000 0.0000  2 Tc 2.46
Tc: 0.0000 0.0000 0.0000  4 Ga 2.46, 2 In 2.62
Tl: 0.5000 0.5000 0.5000  4 In 3.47, 8 Ga 3.59

Summary:
Its formation energy is 102 meV per atom. The space-group type is No. 123.

***

No. 5
Entry from the Alexandria database: a relaxed structure of AlBiAsRu2 (GGA-PBE).

Lattice parameters (Å, degrees): 4.6436 4.7701 4.6436 90.00 90.00 90.00
Closest atoms and distances in Å follow each position.
Fractional positions:
As: 0.0000 0.0000 0.0000  4 Ru 2.32, 2 Al 2.39
Ru: 0.5000 0.0000 0.0000  2 As 2.32
Ru: 0.0000 0.0000 0.5000  2 As 2.32
Al: 0.0000 0.5000 0.0000  2 As 2.39
Bi: 0.5000 0.5000 0.5000  4 Al 3.28, 8 Ru 3.33

Summary:
Its formation energy is 703 meV per atom. The space-group type is No. 123.

***

No. 6
Entry from the Alexandria database: a relaxed structure of BaIn2Te2Br (GGA-PBE).

Lattice parameters (Å, degrees): 6.4446 8.8218 10.5594 127.35 90.00 90.00
Closest atoms and distances in Å follow each position.
Fractional positions:
In: 0.5215 0.9474 0.8364  2 Te 2.94-3.04, 2 In 2.95-3.00, 1 Br 3.01
In: 0.9785 0.9474 0.8364  2 Te 2.94-3.04, 2 In 2.95-3.00, 1 Br 3.01
In: 0.4785 0.0526 0.1636  2 Te 2.94-3.04, 2 In 2.95-3.00, 1 Br 3.01
In: 0.0215 0.0526 0.1636  2 Te 2.94-3.04, 2 In 2.95-3.00, 1 Br 3.01
Te: 0.2500 0.6108 0.6608  2 In 2.94
Te: 0.7500 0.3892 0.3392  2 In 2.94
Te: 0.7500 0.9292 0.5752  2 In 3.04
Te: 0.2500 0.0708 0.4248  2 In 3.04
Br: 0.2500 0.2849 0.9475  2 In 3.01, 1 Ba 3.34
Br: 0.7500 0.7151 0.0525  2 In 3.01, 1 Ba 3.34
Ba: 0.2500 0.6293 0.3408  1 Br 3.34, 2 Te 3.43-3.48
Ba: 0.7500 0.3707 0.6592  1 Br 3.34, 2 Te 3.43-3.48

Summary:
As for the total energy: -3.3284 eV/atom. The space-group type is No. 11.

***

No. 7
Entry from the Alexandria database: a relaxed structure of BaY2Be (GGA-PBE).

Lattice parameters (Å, degrees): 3.7584 3.7584 8.9576 90.00 90.00 90.00
Closest atoms and distances in Å follow each position.
Fractional positions:
Y: 0.5000 0.5000 0.1917  1 Be 3.39, 8 Y 3.48-3.76
Y: 0.0000 0.0000 0.9414  4 Be 2.90
Be: 0.5000 0.5000 0.8130  4 Y 2.90
Ba: 0.0000 0.0000 0.5538  1 Y 3.47, 4 Be 3.53, 4 Ba 3.76

Summary:
Its formation energy is 243 meV per atom. The space-group type is No. 99.

***

No. 8
Entry from the Alexandria database: a relaxed structure of Sc3Co2Ge3 (GGA-PBE).

Lattice parameters (Å, degrees): 5.3367 5.3367 13.2835 90.00 90.00 135.56
Closest atoms and distances in Å follow each position.
Fractional positions:
Sc: 0.5793 0.4207 0.6107  7 Ge 2.83-3.08, 4 Co 2.85-3.06
Sc: 0.4207 0.5793 0.3893  7 Ge 2.83-3.08, 4 Co 2.85-3.06
Sc: 0.8529 0.1471 0.7500  5 Ge 2.81-2.96, 4 Co 2.91
Sc: 0.1471 0.8529 0.2500  5 Ge 2.81-2.96, 4 Co 2.91
Sc: 0.5793 0.4207 0.8893  7 Ge 2.83-3.08, 4 Co 2.85-3.06
Sc: 0.4207 0.5793 0.1107  7 Ge 2.83-3.08, 4 Co 2.85-3.06
Co: 0.2911 0.7089 0.5986  4 Ge 2.32-2.47
Co: 0.2911 0.7089 0.9014  4 Ge 2.32-2.47
Co: 0.7089 0.2911 0.0986  4 Ge 2.32-2.47
Co: 0.7089 0.2911 0.4014  4 Ge 2.32-2.47
Ge: 0.1238 0.8762 0.0395  3 Co 2.32-2.47
Ge: 0.8762 0.1238 0.5395  3 Co 2.32-2.47
Ge: 0.8762 0.1238 0.9605  3 Co 2.32-2.47
Ge: 0.8474 0.1526 0.2500  2 Co 2.43
Ge: 0.1238 0.8762 0.4605  3 Co 2.32-2.47
Ge: 0.1526 0.8474 0.7500  2 Co 2.43

Summary:
Its formation energy is -745 meV per atom. Its energy above the most stable polymorph in this dataset is 0 meV per atom. The space-group type is No. 63.